# 1
{
  "formula": "Ho2TiCu",
  "functional": "PBE",
  "state": "relaxed",
  "space_group": "No. 123",
  "density_kg_m3": 8294,
  "ef_ev_per_atom": 0.00,
  "energy_ev_per_atom": -5.29,
  "lattice_angstrom": [[3.344, 0.000, 0.000], [0.000, 3.344, 0.000], [0.000, 0.000, 7.899]],
  "species": ["Ho", "Ho", "Ti", "Cu"],
  "frac_coords": [[0.000, 0.000, 0.230], [0.000, 0.000, 0.770], [0.500, 0.500, 0.500], [0.500, 0.500, 0.000]]
}


# 2
{
  "formula": "Ho2TiZn12Cu3",
  "functional": "PBE",
  "state": "relaxed",
  "space_group": "No. 166",
  "density_kg_m3": 6624,
  "ef_ev_per_atom": 0.18,
  "energy_ev_per_atom": -2.30,
  "lattice_angstrom": [[3.740, 2.159, 7.003], [-3.740, 2.159, 7.003], [0.000, -4.318, 7.003]],
  "species": ["Ho", "Ho", "Ti", "Zn", "Zn", "Zn", "Zn", "Zn", "Zn", "Zn", "Zn", "Zn", "Zn", "Zn", "Zn", "Cu", "Cu", "Cu"],
  "frac_coords": [[0.085, 0.085, 0.085], [0.915, 0.915, 0.915], [0.500, 0.500, 0.500], [0.039, 0.670, 0.670], [0.278, 0.278, 0.641], [0.278, 0.641, 0.278], [0.330, 0.330, 0.961], [0.330, 0.961, 0.330], [0.359, 0.722, 0.722], [0.641, 0.278, 0.278], [0.670, 0.039, 0.670], [0.670, 0.670, 0.039], [0.722, 0.359, 0.722], [0.722, 0.722, 0.359], [0.961, 0.330, 0.330], [0.000, 0.500, 0.500], [0.500, 0.000, 0.500], [0.500, 0.500, 0.000]]
}


# 3
{
  "formula": "Ho2TlCu",
  "functional": "PBE",
  "state": "relaxed",
  "space_group": "No. 166",
  "density_kg_m3": 9459,
  "ef_ev_per_atom": -0.14,
  "energy_ev_per_atom": -4.04,
  "lattice_angstrom": [[1.887, 1.089, 8.511], [-1.887, 1.089, 8.511], [0.000, -2.179, 8.511]],
  "species": ["Ho", "Ho", "Tl", "Cu"],
  "frac_coords": [[0.238, 0.238, 0.238], [0.762, 0.762, 0.762], [0.000, 0.000, 0.000], [0.500, 0.500, 0.500]]
}


# 4
{
  "formula": "Ho8TlCu2",
  "functional": "PBE",
  "state": "relaxed",
  "space_group": "No. 12",
  "density_kg_m3": 9363,
  "ef_ev_per_atom": -0.14,
  "energy_ev_per_atom": -4.43,
  "e_above_lowest_polymorph_ev_per_atom": 0.0000,
  "lattice_angstrom": [[8.456, -2.486, 0.000], [8.456, 2.486, 0.000], [-3.028, 0.000, 6.965]],
  "species": ["Ho", "Ho", "Ho", "Ho", "Ho", "Ho", "Ho", "Ho", "Tl", "Cu", "Cu"],
  "frac_coords": [[0.048, 0.048, 0.255], [0.185, 0.185, 0.786], [0.316, 0.316, 0.520], [0.402, 0.402, 0.026], [0.598, 0.598, 0.974], [0.684, 0.684, 0.480], [0.815, 0.815, 0.214], [0.952, 0.952, 0.745], [0.500, 0.500, 0.500], [0.190, 0.190, 0.155], [0.810, 0.810, 0.845]]
}